Material: HfFeSi
Method: DFT, PBE
State: relaxed

Values from the calculation:
The calculation puts the formation energy without anion corrections at -632 meV per atom. The energy is -8.579 eV/atom.

Geometry as CIF:
```
data_HfFeSi
_chemical_formula_sum 'Hf4 Fe4 Si4'
_space_group_name_H-M_alt 'I m m a'
_space_group_IT_number 74
_space_group_name_Hall '-I 2b 2'
_cell_length_a 4.9491
_cell_length_b 5.0084
_cell_length_c 6.8369
_cell_angle_alpha 90.00
_cell_angle_beta 90.00
_cell_angle_gamma 90.00
loop_
_atom_site_label
_atom_site_fract_x
_atom_site_fract_y
_atom_site_fract_z
Hf1 0.0000 0.2500 0.1194
Fe1 0.2500 0.2500 0.7500
Si1 0.0000 0.0000 0.5000
```



Material: HfFeSi2
Method: DFT, PBE
State: relaxed

Values from the calculation:
The calculation puts the formation energy without anion corrections at -72 meV per atom. The energy is -7.387 eV/atom.

Geometry as CIF:
```
data_HfFeSi2
_chemical_formula_sum 'Hf4 Fe4 Si8'
_space_group_name_H-M_alt 'F m -3 m'
_space_group_IT_number 225
_space_group_name_Hall '-F 4 2 3'
_cell_length_a 6.1605
_cell_length_b 6.1605
_cell_length_c 6.1605
_cell_angle_alpha 90.00
_cell_angle_beta 90.00
_cell_angle_gamma 90.00
loop_
_atom_site_label
_atom_site_fract_x
_atom_site_fract_y
_atom_site_fract_z
Hf1 0.0000 0.0000 0.0000
Fe1 0.0000 0.0000 0.5000
Si1 0.2500 0.2500 0.2500
```



Material: HfFeSi
Method: DFT, PBE
State: relaxed

Values from the calculation:
The calculation puts the formation energy without anion corrections at -472 meV per atom. The energy is -8.418 eV/atom.

Geometry as CIF:
```
data_HfFeSi
_chemical_formula_sum 'Hf6 Fe6 Si6'
_space_group_name_H-M_alt 'R 3 m'
_space_group_IT_number 160
_space_group_name_Hall 'R 3 -2"'
_cell_length_a 4.1523
_cell_length_b 4.1523
_cell_length_c 18.3662
_cell_angle_alpha 90.00
_cell_angle_beta 90.00
_cell_angle_gamma 120.00
loop_
_atom_site_label
_atom_site_fract_x
_atom_site_fract_y
_atom_site_fract_z
Hf1 0.0000 0.0000 0.0000
Hf2 0.0000 0.0000 0.1706
Fe1 0.0000 0.0000 0.3076
Fe2 0.0000 0.0000 0.4431
Si1 0.0000 0.0000 0.5837
Si2 0.0000 0.0000 0.7543
```